Record 1
Material: HfVSeN2
Method: DFT, PBE
State: optimized geometry Values from VASP.

The structure in Quantum ESPRESSO input format:
```
&SYSTEM
  ibrav = 0, nat = 5, ntyp = 4
/
ATOMIC_SPECIES
Hf 178.49 Hf.upf
V 50.94 V.upf
Se 78.96 Se.upf
N 14.01 N.upf
CELL_PARAMETERS angstrom
3.8153 0.0000 0.0000
0.0000 3.8153 0.0000
0.0000 0.0000 4.8435
ATOMIC_POSITIONS angstrom
Hf 0.0000 0.0000 0.0000
V 1.9077 1.9077 2.4217
Se 1.9077 1.9077 0.0000
N 0.0000 1.9077 2.4217
N 1.9077 0.0000 2.4217
```

## Properties
- Volume: 14.1 A^3/atom
- Offset from the most stable computed form: 0.0000 eV per atom
- Space group: P4/mmm (123)

Record 2
Material: HfVSeN2
Method: DFT, PBE
State: optimized geometry Values from VASP.

The structure in Quantum ESPRESSO input format:
```
&SYSTEM
  ibrav = 0, nat = 5, ntyp = 4
/
ATOMIC_SPECIES
Hf 178.49 Hf.upf
V 50.94 V.upf
Se 78.96 Se.upf
N 14.01 N.upf
CELL_PARAMETERS angstrom
4.0613 0.0000 0.0000
0.0000 4.0613 0.0000
0.0000 0.0000 5.3889
ATOMIC_POSITIONS angstrom
Hf 0.0000 0.0000 0.0000
V 2.0306 2.0306 2.6944
Se 0.0000 0.0000 2.6944
N 0.0000 2.0306 0.0000
N 2.0306 0.0000 0.0000
```

## Properties
- Volume: 17.8 A^3/atom
- Offset from the most stable computed form: 0.5025 eV per atom
- Space group: P4/mmm (123)

Record 3
Material: YHfSeN2
Method: DFT, PBE
State: optimized geometry Values from VASP.

The structure in Quantum ESPRESSO input format:
```
&SYSTEM
  ibrav = 0, nat = 5, ntyp = 4
/
ATOMIC_SPECIES
Y 88.91 Y.upf
Hf 178.49 Hf.upf
Se 78.96 Se.upf
N 14.01 N.upf
CELL_PARAMETERS angstrom
4.1707 0.0000 0.0000
0.0000 4.1707 0.0000
0.0000 0.0000 5.2327
ATOMIC_POSITIONS angstrom
Y 0.0000 0.0000 0.0000
Hf 2.0853 2.0853 2.6164
Se 2.0853 2.0853 0.0000
N 0.0000 2.0853 2.6164
N 2.0853 0.0000 2.6164
```

## Properties
- Volume: 18.2 A^3/atom
- Offset from the most stable computed form: 0.0000 eV per atom
- Space group: P4/mmm (123)

Record 4
Material: YHfSeN2
Method: DFT, PBE
State: optimized geometry Values from VASP.

The structure in Quantum ESPRESSO input format:
```
&SYSTEM
  ibrav = 0, nat = 5, ntyp = 4
/
ATOMIC_SPECIES
Y 88.91 Y.upf
Hf 178.49 Hf.upf
Se 78.96 Se.upf
N 14.01 N.upf
CELL_PARAMETERS angstrom
4.2552 0.0000 0.0000
0.0000 4.2552 0.0000
0.0000 0.0000 5.3671
ATOMIC_POSITIONS angstrom
Y 0.0000 0.0000 0.0000
Hf 2.1276 2.1276 2.6835
Se 0.0000 0.0000 2.6835
N 0.0000 2.1276 0.0000
N 2.1276 0.0000 0.0000
```

## Properties
- Volume: 19.4 A^3/atom
- Offset from the most stable computed form: 1.2377 eV per atom
- Space group: P4/mmm (123)

Record 5
Material: HfZnSe2N
Method: DFT, PBE
State: optimized geometry Values from VASP.

The structure in Quantum ESPRESSO input format:
```
&SYSTEM
  ibrav = 0, nat = 5, ntyp = 4
/
ATOMIC_SPECIES
Hf 178.49 Hf.upf
Zn 65.41 Zn.upf
Se 78.96 Se.upf
N 14.01 N.upf
CELL_PARAMETERS angstrom
4.9949 0.0000 0.0000
0.0000 4.9949 0.0000
0.0000 0.0000 3.6523
ATOMIC_POSITIONS angstrom
Hf 0.0000 0.0000 0.0000
Zn 2.4974 2.4974 1.8261
Se 0.0000 2.4974 1.8261
Se 2.4974 0.0000 1.8261
N 2.4974 2.4974 0.0000
```

## Properties
- Volume: 18.2 A^3/atom
- Offset from the most stable computed form: 0.5627 eV per atom
- Space group: P4/mmm (123)

Record 6
Material: HfZnSeN2
Method: DFT, PBE
State: optimized geometry Values from VASP.

The structure in Quantum ESPRESSO input format:
```
&SYSTEM
  ibrav = 0, nat = 5, ntyp = 4
/
ATOMIC_SPECIES
Hf 178.49 Hf.upf
Zn 65.41 Zn.upf
Se 78.96 Se.upf
N 14.01 N.upf
CELL_PARAMETERS angstrom
3.8691 0.0000 0.0000
0.0000 3.8691 0.0000
0.0000 0.0000 4.9249
ATOMIC_POSITIONS angstrom
Hf 0.0000 0.0000 0.0000
Zn 1.9345 1.9345 2.4624
Se 1.9345 1.9345 0.0000
N 0.0000 1.9345 2.4624
N 1.9345 0.0000 2.4624
```

## Properties
- Volume: 14.7 A^3/atom
- Offset from the most stable computed form: 0.6949 eV per atom
- Space group: P4/mmm (123)

no.,formation energy from raw total energies (eV per atom),uncorrected energy (eV per atom)
1,-0.014,-7.856
2,0.488,-7.353
3,-0.717,-8.027
4,0.521,-6.790
5,0.502,-4.802
6,0.918,-5.354